This record from Alexandria via LeMat-Bulk describes a geometry-optimized Li2RuSe structure. The functional is GGA-PBE.

It has space group Pm (No. 6), with a = 3.070 Å, b = 4.241 Å, c = 5.130 Å, α = 90.00°, β = 107.11° and γ = 90.00°. Symmetry generates all atoms from Li at (0.000, 0.000, 0.000), Li at (0.339, 0.500, 0.689), Ru at (0.615, 0.500, 0.232) and Se at (0.720, 0.000, 0.447).

For the total magnetization, the calculation gives 0.00 μB/cell. The total energy comes out at -4.3141 eV per atom. The calculation puts the theoretical density at 5044 kg/m³.

***

This record from Alexandria via LeMat-Bulk describes a geometry-optimized HfPa5Se6 structure. The functional is GGA-PBE.

It has space group C2/m (No. 12), with a = 6.812 Å, b = 12.752 Å, c = 6.885 Å, α = 90.00°, β = 112.56° and γ = 90.00°. Symmetry generates all atoms from Hf at (0.000, 0.000, 0.000), Pa at (0.000, 0.172, 0.500), Pa at (0.000, 0.332, 0.000), Pa at (0.000, 0.500, 0.500), Se at (0.238, 0.000, 0.753) and Se at (0.240, 0.160, 0.240).

For the total magnetization, the calculation gives 2.60 μB/cell. The total energy comes out at -7.6677 eV per atom. The calculation puts the theoretical density at 10868 kg/m³.

***

This record from Alexandria via LeMat-Bulk describes a geometry-optimized CsErS structure. The functional is GGA-PBE.

It has space group Pbcm (No. 57), with a = 7.828 Å, b = 6.996 Å, c = 6.997 Å, α = 90.00°, β = 90.00° and γ = 90.00°. Symmetry generates all atoms from Cs at (0.000, 0.250, 0.000), Er at (0.500, 0.250, 0.000) and S at (0.352, 0.000, 0.250).

For the total magnetization, the calculation gives 0.00 μB/cell. The total energy comes out at -4.0356 eV per atom. The calculation puts the theoretical density at 5759 kg/m³.

***

This record from Alexandria via LeMat-Bulk describes a geometry-optimized Er2CuPd structure. The functional is GGA-PBE.

It has space group P4/mmm (No. 123), with a = 3.448 Å, b = 3.448 Å, c = 6.975 Å, α = 90.00°, β = 90.00° and γ = 90.00°. Symmetry generates all atoms from Er at (0.000, 0.000, 0.248), Cu at (0.500, 0.500, 0.000) and Pd at (0.500, 0.500, 0.500).

For the total magnetization, the calculation gives 0.00 μB/cell. The total energy comes out at -5.2054 eV per atom. The calculation puts the theoretical density at 10099 kg/m³.

***

This record from Alexandria via LeMat-Bulk describes a geometry-optimized Tm4Co2Sn structure. The functional is GGA-PBE.

It has space group R-3m (No. 166, hexagonal axes), with a = 4.5994 Å, b = 4.5994 Å, c = 27.2022 Å, α = 90.00°, β = 90.00° and γ = 120.00°. Symmetry generates all atoms from Tm at (0.0000, 0.0000, 0.1095), Tm at (0.0000, 0.0000, 0.2987), Co at (0.0000, 0.0000, 0.4036) and Sn at (0.0000, 0.0000, 0.5000).

For the total magnetization, the calculation gives 0.00 μB/cell. The total energy comes out at -5.3838 eV per atom. The calculation puts the theoretical density at 9120 kg/m³.

***

This record from Alexandria via LeMat-Bulk describes a geometry-optimized Ta3Nb3Mo2 structure. The functional is GGA-PBE.

It has space group Cmcm (No. 63), with a = 4.490 Å, b = 10.062 Å, c = 12.818 Å, α = 90.00°, β = 90.00° and γ = 90.00°. Symmetry generates all atoms from Ta at (0.000, 0.036, 0.250), Ta at (0.000, 0.140, 0.530), Nb at (0.000, 0.252, 0.750), Nb at (0.000, 0.428, 0.595) and Mo at (0.000, 0.308, 0.141).

For the total magnetization, the calculation gives 0.00 μB/cell. The relative energy among the computed polymorphs comes out at 0 meV/atom. The calculation puts the theoretical density at 11623 kg/m³.

***

> Number 3 is which compound?

CsErS

***

> theoretical density of number 3 (CsErS)?

5759 kg/m³